Entry 1:
## SrMnBe3 (GGA-PBE)

Data for crystalline SrMnBe3 at its relaxed geometry.

```
SrMnBe3
1.0
4.9956 0.0000 0.0000
0.0000 4.9956 0.0000
0.0000 0.0000 4.9956
Sr Mn Be
1 1 3
Direct
0.0000 0.0000 0.0000 Sr
0.5000 0.5000 0.5000 Mn
0.0000 0.0000 0.5000 Be
0.0000 0.5000 0.0000 Be
0.5000 0.0000 0.0000 Be
```

## Properties
The symmetry is Pm-3m, No. 221. The calculation puts the total energy at -10.3 eV/cell.

Entry 2:
## Sr2MnBe (GGA-PBE)

Data for crystalline Sr2MnBe at its relaxed geometry.

```
Sr2MnBe
1.0
-2.2800 2.2800 10.1066
2.2800 -2.2800 10.1066
2.2800 2.2800 -10.1066
Sr Mn Be
4 2 2
Direct
0.1219 0.6250 0.9969 Sr
0.3750 0.3719 0.4969 Sr
0.6281 0.1250 0.0031 Sr
0.8750 0.8781 0.5031 Sr
0.0000 0.0000 0.0000 Mn
0.7500 0.2500 0.5000 Mn
0.2500 0.7500 0.5000 Be
0.5000 0.5000 0.0000 Be
```

## Properties
The symmetry is I-42d, No. 122. The calculation puts the total energy at -20.1 eV/cell.